Entry 1:
Below is a geometry-optimized InAgI3 structure, with properties calculated at the PBE level.

For the density of states at the Fermi level, the calculation gives 6.3 states/eV/cell. The energy relative to the elements, uncorrected comes out at -0.32 eV/atom.

The structure belongs to space group Cmc2_1 (No. 36); the cell edges are 4.484, 22.866 and 7.908 Å and the angles 90.00°, 90.00° and 90.00°. The asymmetric unit holds In at (0.000, 0.172, 0.000), Ag at (0.000, 0.398, 0.996), I at (0.000, 0.083, 0.296), I at (0.000, 0.254, 0.684) and I at (0.000, 0.411, 0.340).


Entry 2:
Below is a geometry-optimized In2AgI2 structure, with properties calculated at the PBE level.

For the density of states at the Fermi level, the calculation gives 2.2 states/eV/cell. The energy relative to the elements, uncorrected comes out at 0.00 eV/atom.

The structure belongs to space group I4/mmm (No. 139); the cell edges are 4.178, 4.178 and 18.996 Å and the angles 90.00°, 90.00° and 90.00°. The asymmetric unit holds In at (0.000, 0.500, 0.250), Ag at (0.000, 0.000, 0.000) and I at (0.000, 0.000, 0.403).


Entry 3:
Below is a geometry-optimized In2AgI8 structure, with properties calculated at the PBE level.

For the density of states at the Fermi level, the calculation gives 12.0 states/eV/cell. The energy relative to the elements, uncorrected comes out at -0.37 eV/atom.

The structure belongs to space group C2/m (No. 12); the cell edges are 13.519, 10.878 and 7.655 Å and the angles 90.00°, 91.36° and 90.00°. The asymmetric unit holds In at (0.228, 0.000, 0.336), Ag at (0.000, 0.000, 0.000), I at (0.087, 0.500, 0.786), I at (0.108, 0.186, 0.183) and I at (0.217, 0.000, 0.692).


Entry 4:
Below is a geometry-optimized InAgI structure, with properties calculated at the PBE level.

For the density of states at the Fermi level, the calculation gives 1.8 states/eV/cell. The energy relative to the elements, uncorrected comes out at -0.12 eV/atom.

The structure belongs to space group P1 (No. 1); the cell edges are 4.328, 4.329 and 12.137 Å and the angles 80.20°, 79.78° and 60.04°. The asymmetric unit holds In at (0.000, 0.000, 0.000), In at (0.093, 0.079, 0.733), Ag at (0.622, 0.627, 0.128), Ag at (0.709, 0.703, 0.879), I at (0.245, 0.255, 0.254) and I at (0.483, 0.463, 0.568).


Entry 5:
Below is a geometry-optimized In3AgI structure, with properties calculated at the PBE level.

For the density of states at the Fermi level, the calculation gives 1.6 states/eV/cell. The energy relative to the elements, uncorrected comes out at -0.04 eV/atom.

The structure belongs to space group Pm-3m (No. 221); the cell edges are 5.487, 5.487 and 5.487 Å and the angles 90.00°, 90.00° and 90.00°. The asymmetric unit holds In at (0.000, 0.000, 0.500), Ag at (0.000, 0.000, 0.000) and I at (0.500, 0.500, 0.500).


Entry 6:
Below is a geometry-optimized In2AgI8 structure, with properties calculated at the PBE level.

For the density of states at the Fermi level, the calculation gives 18.7 states/eV/cell. The energy relative to the elements, uncorrected comes out at -0.27 eV/atom.

The structure belongs to space group P-3m1 (No. 164); the cell edges are 8.5766, 8.5766 and 8.4390 Å and the angles 90.00°, 90.00° and 120.00°. The asymmetric unit holds In at (0.3333, 0.6667, 0.1781), Ag at (0.0000, 0.0000, 0.5000), I at (0.1526, 0.3053, 0.2611) and I at (0.3333, 0.6667, 0.8508).


Entry 7:
Below is a geometry-optimized In2AgI2 structure, with properties calculated at the PBE level.

For the density of states at the Fermi level, the calculation gives 4.7 states/eV/cell. The energy relative to the elements, uncorrected comes out at -0.08 eV/atom.

The structure belongs to space group P4/mbm (No. 127); the cell edges are 7.953, 7.953 and 5.244 Å and the angles 90.00°, 90.00° and 90.00°. The asymmetric unit holds In at (0.168, 0.332, 0.000), Ag at (0.000, 0.000, 0.000) and I at (0.171, 0.671, 0.500).


Entry 8:
Below is a geometry-optimized In2Ag2I7 structure, with properties calculated at the PBE level.

For the density of states at the Fermi level, the calculation gives 15.6 states/eV/cell. The energy relative to the elements, uncorrected comes out at -0.34 eV/atom.

The structure belongs to space group C2/c (No. 15); the cell edges are 11.909, 12.442 and 15.058 Å and the angles 90.00°, 112.43° and 90.00°. The asymmetric unit holds In at (0.246, 0.215, 0.199), Ag at (0.141, 0.377, 0.426), I at (0.000, 0.226, 0.750), I at (0.099, 0.389, 0.089), I at (0.185, 0.022, 0.090) and I at (0.188, 0.169, 0.364).


Entry 9:
Below is a geometry-optimized InAg2I6 structure, with properties calculated at the PBE level.

For the density of states at the Fermi level, the calculation gives 57.8 states/eV/cell. The energy relative to the elements, uncorrected comes out at -0.27 eV/atom.

The structure belongs to space group C2/c (No. 15); the cell edges are 16.836, 14.800 and 7.647 Å and the angles 90.00°, 116.96° and 90.00°. The asymmetric unit holds In at (0.000, 0.250, 0.250), Ag at (0.250, 0.069, 0.449), I at (0.097, 0.355, 0.578), I at (0.098, 0.144, 0.117) and I at (0.249, 0.397, 0.199).


Entry 10:
Below is a geometry-optimized InAg3I4 structure, with properties calculated at the PBE level.

For the density of states at the Fermi level, the calculation gives 0.0 states/eV/cell. The energy relative to the elements, uncorrected comes out at -0.28 eV/atom.

The structure belongs to space group Pmn2_1 (No. 31); the cell edges are 9.655, 8.383 and 8.093 Å and the angles 90.00°, 90.00° and 90.00°. The asymmetric unit holds In at (0.000, 0.164, 0.000), Ag at (0.000, 0.817, 0.516), Ag at (0.250, 0.337, 0.520), I at (0.000, 0.155, 0.573), I at (0.000, 0.791, 0.161) and I at (0.226, 0.648, 0.665).


Entry 11:
Below is a geometry-optimized In2AgI2 structure, with properties calculated at the PBE level.

For the density of states at the Fermi level, the calculation gives 4.6 states/eV/cell. The energy relative to the elements, uncorrected comes out at -0.07 eV/atom.

The structure belongs to space group I4/mmm (No. 139); the cell edges are 6.537, 6.537 and 8.516 Å and the angles 90.00°, 90.00° and 90.00°. The asymmetric unit holds In at (0.000, 0.000, 0.178), Ag at (0.000, 0.000, 0.500) and I at (0.000, 0.500, 0.250).


Entry 12:
Below is a geometry-optimized InAg3I4 structure, with properties calculated at the PBE level.

For the density of states at the Fermi level, the calculation gives 0.0 states/eV/cell. The energy relative to the elements, uncorrected comes out at -0.27 eV/atom.

The structure belongs to space group I-42m (No. 121); the cell edges are 6.977, 6.977 and 13.482 Å and the angles 90.00°, 90.00° and 90.00°. The asymmetric unit holds In at (0.000, 0.000, 0.000), Ag at (0.000, 0.000, 0.500), Ag at (0.000, 0.500, 0.250) and I at (0.219, 0.219, 0.360).


Entry 13:
Below is a geometry-optimized In2AgI3 structure, with properties calculated at the PBE level.

For the density of states at the Fermi level, the calculation gives 0.0 states/eV/cell. The energy relative to the elements, uncorrected comes out at -0.38 eV/atom.

The structure belongs to space group Pnma (No. 62); the cell edges are 9.949, 4.731 and 19.735 Å and the angles 90.00°, 90.00° and 90.00°. The asymmetric unit holds In at (0.071, 0.250, 0.220), In at (0.246, 0.250, 0.971), Ag at (0.132, 0.250, 0.639), I at (0.008, 0.250, 0.402), I at (0.110, 0.750, 0.073) and I at (0.195, 0.250, 0.779).


Entry 14:
Below is a geometry-optimized In2AgI6 structure, with properties calculated at the PBE level.

For the density of states at the Fermi level, the calculation gives 10.2 states/eV/cell. The energy relative to the elements, uncorrected comes out at -0.38 eV/atom.

The structure belongs to space group C2/c (No. 15); the cell edges are 16.691, 15.692 and 9.325 Å and the angles 90.00°, 121.44° and 90.00°. The asymmetric unit holds In at (0.201, 0.089, 0.300), Ag at (0.000, 0.318, 0.250), I at (0.104, 0.427, 0.545), I at (0.129, 0.017, 0.498) and I at (0.140, 0.258, 0.192).


Entry 15:
Below is a geometry-optimized In3AgI6 structure, with properties calculated at the PBE level.

The energy relative to the elements, uncorrected comes out at -0.39 eV/atom.

The structure belongs to space group P2_1/c (No. 14); the cell edges are 7.785, 8.526 and 13.736 Å and the angles 90.00°, 123.64° and 90.00°. The asymmetric unit holds In at (0.000, 0.000, 0.000), In at (0.301, 0.110, 0.755), Ag at (0.500, 0.000, 0.500), I at (0.139, 0.015, 0.250), I at (0.226, 0.693, 0.048) and I at (0.364, 0.183, 0.047).


Entry 16:
Below is a geometry-optimized In2AgI5 structure, with properties calculated at the PBE level.

For the density of states at the Fermi level, the calculation gives 0.4 states/eV/cell. The energy relative to the elements, uncorrected comes out at -0.38 eV/atom.

The structure belongs to space group Cmcm (No. 63); the cell edges are 4.518, 18.312 and 17.956 Å and the angles 90.00°, 90.00° and 90.00°. The asymmetric unit holds In at (0.000, 0.092, 0.171), Ag at (0.000, 0.132, 0.750), I at (0.000, 0.050, 0.614), I at (0.000, 0.275, 0.250) and I at (0.000, 0.346, 0.591).


Entry 17:
Below is a geometry-optimized InAgI3 structure, with properties calculated at the PBE level.

For the density of states at the Fermi level, the calculation gives 1.7 states/eV/cell. The energy relative to the elements, uncorrected comes out at -0.17 eV/atom.

The structure belongs to space group Pm-3m (No. 221); the cell edges are 5.753, 5.753 and 5.753 Å and the angles 90.00°, 90.00° and 90.00°. The asymmetric unit holds In at (0.000, 0.000, 0.000), Ag at (0.500, 0.500, 0.500) and I at (0.000, 0.500, 0.500).


Entry 18:
Below is a geometry-optimized In2AgI2 structure, with properties calculated at the PBE level.

For the density of states at the Fermi level, the calculation gives 5.5 states/eV/cell. The energy relative to the elements, uncorrected comes out at -0.03 eV/atom.

The structure belongs to space group P4/mbm (No. 127); the cell edges are 8.071, 8.071 and 5.486 Å and the angles 90.00°, 90.00° and 90.00°. The asymmetric unit holds In at (0.144, 0.356, 0.000), Ag at (0.000, 0.000, 0.500) and I at (0.180, 0.680, 0.500).


Entry 19:
Below is a geometry-optimized InAgIr2I structure, with properties calculated at the PBE level.

For the density of states at the Fermi level, the calculation gives 8.2 states/eV/cell. The energy relative to the elements, uncorrected comes out at 1.62 eV/atom.

The structure belongs to space group P4/mmm (No. 123); the cell edges are 5.040, 5.040 and 4.995 Å and the angles 90.00°, 90.00° and 90.00°. The asymmetric unit holds In at (0.000, 0.000, 0.000), Ag at (0.000, 0.000, 0.500), Ir at (0.000, 0.500, 0.500) and I at (0.500, 0.500, 0.000).


Entry 20:
Below is a geometry-optimized KIn2AgI8 structure, with properties calculated at the PBE level.

The energy relative to the elements, uncorrected comes out at -0.60 eV/atom.

The structure belongs to space group P-3 (No. 147); the cell edges are 7.6403, 7.6403 and 10.7594 Å and the angles 90.00°, 90.00° and 120.00°. The asymmetric unit holds K at (0.0000, 0.0000, 0.0000), In at (0.3333, 0.6667, 0.7498), Ag at (0.0000, 0.0000, 0.5000), I at (0.0069, 0.6877, 0.3253) and I at (0.3333, 0.6667, 0.0056).


Number 1: V 810.88 Å³/cell, calculated density 4.9 g/cm³, E -2.369 eV per atom. Number 2: V 331.56 Å³/cell, calculated density 5.9 g/cm³, E -2.286 eV per atom. Number 3: V 1125.36 Å³/cell, calculated density 4.0 g/cm³, E -2.252 eV per atom. Number 4: V 192.98 Å³/cell, calculated density 6.0 g/cm³, E -2.504 eV per atom. Number 5: V 165.16 Å³/cell, calculated density 5.8 g/cm³, E -2.563 eV per atom. Number 6: V 537.59 Å³/cell, calculated density 4.2 g/cm³, E -2.156 eV per atom. Number 7: V 331.71 Å³/cell, calculated density 5.9 g/cm³, E -2.368 eV per atom. Number 8: V 2062.33 Å³/cell, calculated density 4.3 g/cm³, E -2.345 eV per atom. Number 9: V 1698.55 Å³/cell, calculated density 4.3 g/cm³, E -2.242 eV per atom. Number 10: V 655.01 Å³/cell, calculated density 4.8 g/cm³, E -2.464 eV per atom. Number 11: V 363.93 Å³/cell, calculated density 5.4 g/cm³, E -2.357 eV per atom. Number 12: V 656.27 Å³/cell, calculated density 4.8 g/cm³, E -2.457 eV per atom. Number 13: V 928.90 Å³/cell, calculated density 5.1 g/cm³, E -2.545 eV per atom. Number 14: V 2083.73 Å³/cell, calculated density 3.5 g/cm³, E -2.339 eV per atom. Number 15: V 759.08 Å³/cell, calculated density 5.3 g/cm³, E -2.430 eV per atom. Number 16: V 1485.74 Å³/cell, calculated density 4.3 g/cm³, E -2.386 eV per atom. Number 17: V 190.36 Å³/cell, calculated density 5.3 g/cm³, E -2.221 eV per atom. Number 18: V 357.40 Å³/cell, calculated density 5.5 g/cm³, E -2.311 eV per atom. Number 19: V 126.87 Å³/cell, calculated density 9.6 g/cm³, E -3.347 eV per atom. Number 20: V 543.92 Å³/cell, calculated density 4.2 g/cm³, E -2.424 eV per atom.